# RhPbO2 (PBE, relaxed)
data_RhPbO2
_space_group_name_H-M_alt 'F m -3 m'
_space_group_IT_number 225
_space_group_name_Hall '-F 4 2 3'
_cell_length_a 5.9986
_cell_length_b 5.9986
_cell_length_c 5.9986
_cell_angle_alpha 90.00
_cell_angle_beta 90.00
_cell_angle_gamma 90.00
loop_
_atom_site_label
_atom_site_fract_x
_atom_site_fract_y
_atom_site_fract_z
Rh1 0.0000 0.0000 0.0000
Pb1 0.0000 0.0000 0.5000
O1 0.2500 0.2500 0.2500
# * energy relative to the elements, uncorrected: -0.03 eV/atom
# * calculated volume: 13.49 Å³/atom
# * raw total energy: -84.31 eV for the cell shown